# 1
Material: LaIn2Pb2
Method: DFT, PBE
State: relaxed

Calculated values
- Symmetry: No. 63
- Magnetic moment: 0.0 Bohr magnetons per cell
- ΔE to the lowest computed polymorph: 0.00 eV per formula unit

Cell: 12.6605 12.6605 4.8464 Å, 90.00 90.00 157.98°
Fractional coordinates of all 10 atoms:
La: 0.1420 0.8580 0.7500
La: 0.8580 0.1420 0.2500
In: 0.0418 0.9582 0.2500
In: 0.4546 0.5454 0.2500
In: 0.5454 0.4546 0.7500
In: 0.9582 0.0418 0.7500
Pb: 0.2501 0.7499 0.2500
Pb: 0.3554 0.6446 0.7500
Pb: 0.6446 0.3554 0.2500
Pb: 0.7499 0.2501 0.7500

=====

# 2
Material: La14InPb
Method: DFT, PBE
State: relaxed

Calculated values
- Symmetry: No. 123
- Magnetic moment: 0.0 Bohr magnetons per cell
- Electronic total energy: -77.9 eV for the cell shown

Cell: 7.2581 7.2581 10.4880 Å, 90.00 90.00 90.00°
Fractional coordinates of all 16 atoms:
La: 0.0000 0.0000 0.0000
La: 0.0000 0.5000 0.0000
La: 0.0000 0.5000 0.5000
La: 0.2491 0.2491 0.2572
La: 0.2491 0.2491 0.7428
La: 0.2491 0.7509 0.2572
La: 0.2491 0.7509 0.7428
La: 0.5000 0.0000 0.0000
La: 0.5000 0.0000 0.5000
La: 0.5000 0.5000 0.0000
La: 0.7509 0.2491 0.2572
La: 0.7509 0.2491 0.7428
La: 0.7509 0.7509 0.2572
La: 0.7509 0.7509 0.7428
In: 0.0000 0.0000 0.5000
Pb: 0.5000 0.5000 0.5000

=====

# 3
Material: La2InPb
Method: DFT, PBE
State: relaxed

Calculated values
- Symmetry: No. 122
- Magnetic moment: 1.2 Bohr magnetons per cell
- Electronic total energy: -34.8 eV for the cell shown

Cell: 7.1509 7.1509 7.1509 Å, 102.84 102.84 123.75°
Fractional coordinates of all 8 atoms:
La: 0.1233 0.1250 0.4983
La: 0.3750 0.8767 0.0017
La: 0.6267 0.6250 0.5017
La: 0.8750 0.3733 0.9983
In: 0.2500 0.7500 0.5000
In: 0.5000 0.5000 0.0000
Pb: 0.0000 0.0000 0.0000
Pb: 0.7500 0.2500 0.5000

=====

# 4
Material: La2InPb
Method: DFT, PBE
State: relaxed

Calculated values
- Symmetry: No. 139
- Magnetic moment: 0.0 Bohr magnetons per cell
- Electronic total energy: -18.5 eV for the cell shown

Cell: 5.9049 5.9049 5.9049 Å, 127.95 127.95 76.71°
Fractional coordinates of all 4 atoms:
La: 0.2500 0.7500 0.5000
La: 0.7500 0.2500 0.5000
In: 0.0000 0.0000 0.0000
Pb: 0.5000 0.5000 0.0000

=====

# 5
Material: La5InPb4
Method: DFT, PBE
State: relaxed

Calculated values
- Symmetry: No. 123
- Magnetic moment: 0.0 Bohr magnetons per cell
- Electronic total energy: -47.9 eV for the cell shown

Cell: 3.6722 3.6722 23.2735 Å, 90.00 90.00 90.00°
Fractional coordinates of all 10 atoms:
La: 0.0000 0.0000 0.0000
La: 0.0000 0.0000 0.2012
La: 0.0000 0.0000 0.4034
La: 0.0000 0.0000 0.5966
La: 0.0000 0.0000 0.7988
In: 0.5000 0.5000 0.5000
Pb: 0.5000 0.5000 0.1003
Pb: 0.5000 0.5000 0.3016
Pb: 0.5000 0.5000 0.6984
Pb: 0.5000 0.5000 0.8997

=====

# 6
Material: La4InPb3
Method: DFT, PBE
State: relaxed

Calculated values
- Symmetry: No. 12
- Magnetic moment: 1.3 Bohr magnetons per cell
- Electronic total energy: -37.9 eV for the cell shown

Cell: 8.2192 8.2192 6.0049 Å, 111.23 111.23 42.83°
Fractional coordinates of all 8 atoms:
La: 0.1281 0.1281 0.1278
La: 0.3719 0.3719 0.3718
La: 0.6281 0.6281 0.6282
La: 0.8719 0.8719 0.8722
In: 0.0000 0.0000 0.5000
Pb: 0.2458 0.2458 0.7457
Pb: 0.5000 0.5000 0.0000
Pb: 0.7542 0.7542 0.2543

=====

# 7
Material: LaInPb
Method: DFT, PBE
State: relaxed

Calculated values
- Symmetry: No. 156
- Magnetic moment: 0.0 Bohr magnetons per cell
- ΔE to the lowest computed polymorph: 0.88 eV per formula unit

Cell: 3.5715 3.5715 8.2840 Å, 90.00 90.00 120.00°
Fractional coordinates of all 3 atoms:
La: 0.0000 0.0000 0.0000
In: 0.3333 0.6667 0.6605
Pb: 0.6667 0.3333 0.3502

=====

# 8
Material: La6In2Pb
Method: DFT, PBE
State: relaxed

Calculated values
- Symmetry: No. 58
- Magnetic moment: 0.0 Bohr magnetons per cell
- ΔE to the lowest computed polymorph: 0.00 eV per formula unit

Cell: 9.8585 10.2809 5.6743 Å, 90.00 90.00 90.00°
Fractional coordinates of all 18 atoms:
La: 0.0023 0.1829 0.0000
La: 0.1661 0.5982 0.5000
La: 0.1689 0.8961 0.5000
La: 0.3311 0.3961 0.0000
La: 0.3339 0.0982 0.0000
La: 0.4977 0.6829 0.5000
La: 0.5023 0.3171 0.5000
La: 0.6661 0.9018 0.0000
La: 0.6689 0.6039 0.0000
La: 0.8311 0.1039 0.5000
La: 0.8339 0.4018 0.5000
La: 0.9977 0.8171 0.0000
In: 0.1700 0.2467 0.5000
In: 0.3300 0.7467 0.0000
In: 0.6700 0.2533 0.0000
In: 0.8300 0.7533 0.5000
Pb: 0.0000 0.5000 0.0000
Pb: 0.5000 0.0000 0.5000